VASP calculation (PBE-GGA) on a relaxed PmSc2 crystal.

```
PmSc2
1.0
5.326 -0.252 0.000
-2.444 4.739 0.000
0.000 0.000 6.683
Sc Pm
4 2
direct
0.750 0.750 0.000
0.084 0.416 0.750
0.416 0.084 0.250
0.750 0.750 0.500
0.417 0.083 0.750
0.083 0.417 0.250
```

Computed properties:
Density of states at the Fermi level   11.99 states/eV/cell
Space group   Cmcm
E_form   0.09 eV per atom


VASP calculation (PBE-GGA) on a relaxed PmSc4 crystal.

```
PmSc4
1.0
-1.218 4.809 0.597
-8.268 -1.924 -1.375
-0.843 -1.023 6.522
Pm Sc
2 8
direct
0.500 0.000 0.500
0.000 0.000 0.000
0.750 0.702 0.750
0.250 0.298 0.250
0.750 0.388 0.500
0.750 0.702 0.250
0.250 0.612 0.500
0.250 0.612 0.000
0.750 0.388 0.000
0.250 0.298 0.750
```

Computed properties:
Density of states at the Fermi level   16.11 states/eV/cell
Space group   Pmna
E_form   0.24 eV per atom


VASP calculation (PBE-GGA) on a relaxed PmSc4 crystal.

```
PmSc4
1.0
4.448 0.000 1.660
2.224 5.252 0.830
0.387 0.000 5.751
Sc Pm
4 1
direct
0.597 0.601 0.205
0.802 0.795 0.601
0.403 0.399 0.795
0.198 0.205 0.399
0.000 0.000 0.000
```

Computed properties:
Density of states at the Fermi level   8.66 states/eV/cell
Space group   I4/m
E_form   0.06 eV per atom


VASP calculation (PBE-GGA) on a relaxed Pm2Sc crystal.

```
Pm2Sc
1.0
-3.403 4.325 1.118
-2.596 -3.225 4.572
7.277 3.940 6.911
Sc Pm
4 8
direct
0.250 0.668 0.672
0.250 0.168 0.828
0.750 0.332 0.328
0.750 0.832 0.172
0.750 0.327 0.002
0.250 0.663 0.330
0.250 0.163 0.170
0.250 0.673 0.998
0.750 0.337 0.670
0.750 0.837 0.830
0.250 0.173 0.502
0.750 0.827 0.498
```

Computed properties:
Density of states at the Fermi level   19.82 states/eV/cell
Space group   Pnma
E_form   0.05 eV per atom


VASP calculation (PBE-GGA) on a relaxed Pm5Sc crystal.

```
Pm5Sc
1.0
-0.599 -0.639 3.492
3.086 -8.933 0.750
7.703 -5.112 2.242
Pm Sc
5 1
direct
0.606 0.783 0.004
0.283 0.439 0.996
0.444 0.611 0.500
0.110 0.278 0.502
0.779 0.944 0.498
0.944 0.111 0.000
```

Computed properties:
Density of states at the Fermi level   8.74 states/eV/cell
Space group   C2/m
E_form   0.04 eV per atom


VASP calculation (PBE-GGA) on a relaxed PmSc8 crystal.

```
PmSc8
1.0
-0.765 -4.505 -0.897
-0.291 -3.636 6.420
-7.294 -1.142 -0.133
Sc Pm
8 1
direct
0.330 0.340 0.000
0.664 0.336 0.336
0.000 0.664 0.336
0.670 0.660 0.000
0.000 0.336 0.664
0.336 0.664 0.664
0.330 0.000 0.340
0.670 0.000 0.660
0.000 0.000 0.000
```

Computed properties:
Density of states at the Fermi level   15.50 states/eV/cell
Space group   I4/mmm
E_form   0.06 eV per atom


VASP calculation (PBE-GGA) on a relaxed PmSc7 crystal.

```
PmSc7
1.0
6.605 0.000 0.000
3.302 5.720 0.000
3.302 1.907 5.393
Sc Pm
7 1
direct
0.000 0.500 0.000
0.500 0.000 0.000
0.500 0.500 0.500
0.000 0.000 0.500
0.500 0.500 0.000
0.000 0.500 0.500
0.500 0.000 0.500
0.000 0.000 0.000
```

Computed properties:
Density of states at the Fermi level   15.45 states/eV/cell
Space group   Fm-3m
E_form   0.06 eV per atom


VASP calculation (PBE-GGA) on a relaxed PmSc2 crystal.

```
PmSc2
1.0
6.341 0.000 0.000
3.170 5.491 0.000
3.170 1.830 5.177
Sc Pm
4 2
direct
0.125 0.625 0.625
0.625 0.625 0.625
0.625 0.625 0.125
0.625 0.125 0.625
0.250 0.250 0.250
0.000 0.000 0.000
```

Computed properties:
Density of states at the Fermi level   12.10 states/eV/cell
Space group   Fd-3m
E_form   0.23 eV per atom


VASP calculation (PBE-GGA) on a relaxed PmSc3 crystal.

```
PmSc3
1.0
5.560 0.000 0.000
0.000 6.163 -1.563
0.000 1.376 6.208
Pm Sc
2 6
direct
0.750 0.577 0.423
0.250 0.423 0.577
0.250 0.090 0.910
0.750 0.399 0.926
0.750 0.910 0.090
0.750 0.074 0.601
0.250 0.926 0.399
0.250 0.601 0.074
```

Computed properties:
Density of states at the Fermi level   12.36 states/eV/cell
Space group   Cmcm
E_form   0.23 eV per atom


VASP calculation (PBE-GGA) on a relaxed Pm7Sc crystal.

```
Pm7Sc
1.0
-0.636 -2.857 -1.988
6.510 -5.436 2.583
-4.318 -5.212 5.726
Pm Sc
7 1
direct
0.372 0.388 0.869
0.372 0.869 0.388
0.628 0.612 0.131
0.000 0.500 0.500
0.740 0.761 0.761
0.628 0.131 0.612
0.260 0.239 0.239
0.000 0.000 0.000
```

Computed properties:
Density of states at the Fermi level   11.73 states/eV/cell
Space group   Immm
E_form   0.07 eV per atom


VASP calculation (PBE-GGA) on a relaxed Pm2Sc13 crystal.

```
Pm2Sc13
1.0
6.064 -0.178 0.724
-0.996 8.245 0.384
0.336 -3.677 7.503
Sc Pm
13 2
direct
0.604 0.402 0.605
0.513 0.173 0.154
0.290 0.380 0.985
0.396 0.598 0.395
0.487 0.827 0.846
0.108 0.554 0.747
0.000 0.000 0.000
0.710 0.620 0.015
0.355 0.058 0.668
0.645 0.942 0.332
0.185 0.775 0.173
0.892 0.446 0.253
0.815 0.225 0.827
0.914 0.808 0.576
0.086 0.192 0.424
```

Computed properties:
Density of states at the Fermi level   24.11 states/eV/cell
Space group   P-1
E_form   0.06 eV per atom


VASP calculation (PBE-GGA) on a relaxed PmSc3 crystal.

```
PmSc3
1.0
3.416 0.000 0.000
0.000 5.329 0.000
0.000 0.000 5.911
Sc Pm
3 1
direct
0.500 0.500 0.829
0.000 0.000 0.994
0.500 0.000 0.509
0.000 0.500 0.335
```

Computed properties:
Density of states at the Fermi level   7.68 states/eV/cell
Space group   Pmm2
E_form   0.05 eV per atom


VASP calculation (PBE-GGA) on a relaxed Pm2Sc crystal.

```
Pm2Sc
1.0
-1.606 -2.458 2.004
2.187 0.768 2.695
-5.042 5.916 0.062
Pm Sc
2 1
direct
0.660 0.660 0.321
0.340 0.340 0.679
0.000 0.000 0.000
```

Computed properties:
Density of states at the Fermi level   5.04 states/eV/cell
Space group   I4/mmm
E_form   0.06 eV per atom


VASP calculation (PBE-GGA) on a relaxed PmSc3 crystal.

```
PmSc3
1.0
-5.561 -2.366 3.052
0.241 -5.835 3.426
0.205 1.301 8.891
Sc Pm
9 3
direct
0.500 0.000 0.000
0.282 0.770 0.667
0.718 0.718 0.333
0.000 0.500 0.000
0.282 0.282 0.667
0.718 0.230 0.333
0.500 0.500 0.000
0.770 0.282 0.667
0.230 0.718 0.333
0.000 0.000 0.000
0.779 0.779 0.662
0.221 0.221 0.338
```

Computed properties:
Density of states at the Fermi level   18.94 states/eV/cell
Space group   R-3m
E_form   0.04 eV per atom


VASP calculation (PBE-GGA) on a relaxed Pm13Sc2 crystal.

```
Pm13Sc2
1.0
6.639 -0.171 0.687
-1.065 8.977 0.374
0.310 -3.998 8.122
Pm Sc
13 2
direct
0.496 0.170 0.169
0.603 0.396 0.593
0.397 0.604 0.407
0.703 0.629 0.028
0.000 0.000 0.000
0.100 0.560 0.757
0.195 0.807 0.210
0.296 0.035 0.635
0.704 0.965 0.365
0.504 0.830 0.831
0.297 0.371 0.972
0.900 0.440 0.243
0.805 0.193 0.790
0.100 0.231 0.429
0.900 0.769 0.571
```

Computed properties:
Density of states at the Fermi level   22.86 states/eV/cell
Space group   P-1
E_form   0.07 eV per atom


VASP calculation (PBE-GGA) on a relaxed Pm5Sc crystal.

```
Pm5Sc
1.0
5.935 0.000 0.000
0.000 5.936 0.000
0.000 -2.968 5.552
Pm Sc
5 1
direct
0.000 0.162 0.323
0.500 0.341 0.682
0.500 0.000 0.000
0.000 0.838 0.677
0.500 0.659 0.318
0.000 0.500 0.000
```

Computed properties:
Density of states at the Fermi level   11.66 states/eV/cell
Space group   Cmmm
E_form   0.12 eV per atom


VASP calculation (PBE-GGA) on a relaxed PmSc3 crystal.

```
PmSc3
1.0
5.736 -0.064 0.000
1.766 5.458 0.000
-3.751 -2.697 3.400
Sc Pm
3 1
direct
0.750 0.250 0.500
0.250 0.750 0.500
0.500 0.500 0.000
0.000 0.000 0.000
```

Computed properties:
Density of states at the Fermi level   7.28 states/eV/cell
Space group   I4/mmm
E_form   0.06 eV per atom


VASP calculation (PBE-GGA) on a relaxed PmSc3 crystal.

```
PmSc3
1.0
3.436 0.000 0.000
0.000 5.870 0.000
-1.718 -2.935 5.323
Sc Pm
3 1
direct
0.756 0.095 0.512
0.244 0.582 0.488
0.500 0.499 0.000
0.000 0.991 0.000
```

Computed properties:
Density of states at the Fermi level   6.91 states/eV/cell
Space group   Imm2
E_form   0.04 eV per atom


VASP calculation (PBE-GGA) on a relaxed PmSc3 crystal.

```
PmSc3
1.0
-0.451 -4.722 0.204
1.831 0.015 4.381
-4.357 0.494 1.819
Sc Pm
3 1
direct
0.500 0.000 0.500
0.000 0.500 0.500
0.500 0.500 0.000
0.000 0.000 0.000
```

Computed properties:
Density of states at the Fermi level   7.78 states/eV/cell
Space group   Pm-3m
E_form   0.06 eV per atom


VASP calculation (PBE-GGA) on a relaxed Pm7Sc crystal.

```
Pm7Sc
1.0
7.196 0.000 0.000
3.598 6.232 0.000
3.598 2.077 5.876
Pm Sc
7 1
direct
0.000 0.500 0.000
0.500 0.000 0.000
0.500 0.000 0.500
0.000 0.000 0.500
0.000 0.500 0.500
0.500 0.500 0.500
0.500 0.500 0.000
0.000 0.000 0.000
```

Computed properties:
Density of states at the Fermi level   10.22 states/eV/cell
Space group   Fm-3m
E_form   0.03 eV per atom


VASP calculation (PBE-GGA) on a relaxed Pm5Sc3 crystal.

```
Pm5Sc3
1.0
3.555 0.000 0.000
0.000 3.555 0.000
0.000 0.000 19.313
Pm Sc
5 3
direct
0.000 0.000 0.000
0.000 0.000 0.759
0.000 0.000 0.241
0.500 0.500 0.378
0.500 0.500 0.622
0.500 0.500 0.880
0.500 0.500 0.120
0.000 0.000 0.500
```

Computed properties:
Density of states at the Fermi level   12.56 states/eV/cell
Space group   P4/mmm
E_form   0.05 eV per atom


VASP calculation (PBE-GGA) on a relaxed PmSc3 crystal.

```
PmSc3
1.0
-1.352 -4.942 1.459
3.428 -2.990 2.772
-0.960 -1.096 5.124
Pm Sc
1 3
direct
0.500 0.500 0.500
0.750 0.750 0.750
0.250 0.250 0.250
0.000 0.000 0.000
```

Computed properties:
Density of states at the Fermi level   5.96 states/eV/cell
Space group   Fm-3m
E_form   0.10 eV per atom


VASP calculation (PBE-GGA) on a relaxed PmSc2 crystal.

```
PmSc2
1.0
-0.952 -3.177 -1.700
0.838 -1.906 3.092
-5.592 3.198 1.241
Sc Pm
2 1
direct
0.321 0.321 0.643
0.679 0.679 0.357
0.000 0.000 0.000
```

Computed properties:
Density of states at the Fermi level   5.25 states/eV/cell
Space group   I4/mmm
E_form   0.09 eV per atom


VASP calculation (PBE-GGA) on a relaxed Pm2Sc crystal.

```
Pm2Sc
1.0
-3.884 -1.004 5.115
-1.425 -6.064 1.858
2.458 -2.366 5.533
Pm Sc
4 2
direct
0.625 0.625 0.125
0.625 0.625 0.625
0.125 0.625 0.625
0.625 0.125 0.625
0.250 0.250 0.250
0.000 0.000 0.000
```

Computed properties:
Density of states at the Fermi level   11.70 states/eV/cell
Space group   Fd-3m
E_form   0.37 eV per atom


VASP calculation (PBE-GGA) on a relaxed PmSc7 crystal.

```
PmSc7
1.0
-0.868 -3.129 0.467
4.025 -3.733 -5.999
6.464 -2.919 3.978
Sc Pm
7 1
direct
0.365 0.864 0.405
0.635 0.136 0.595
0.253 0.247 0.247
0.635 0.595 0.136
0.747 0.753 0.753
0.365 0.405 0.864
0.000 0.500 0.500
0.000 0.000 0.000
```

Computed properties:
Density of states at the Fermi level   14.46 states/eV/cell
Space group   Immm
E_form   0.03 eV per atom


Quick rundown of E_tot, same order as above: -0.420 -0.424 -0.438 -0.384 -0.366 -0.448 -0.447 -0.410 -0.419 -0.358 -0.445 -0.433 -0.384 -0.434 -0.360 -0.360 -0.432 -0.433 -0.432 -0.362 -0.389 -0.429 -0.420 -0.361 -0.449 Ry per atom